Record 1
Density functional theory data (PBE-GGA) for an optimized crystal structure of CaY2Cd2.

abc: 9.113 9.113 3.480
angles: 90.00 90.00 90.00
Fractional coordinates of all 10 atoms:
Ca1 0.000 0.000 0.000
Ca2 0.500 0.500 0.000
Y1 0.130 0.370 0.000
Y2 0.370 0.870 0.000
Y3 0.630 0.130 0.000
Y4 0.870 0.630 0.000
Cd1 0.168 0.668 0.500
Cd2 0.332 0.168 0.500
Cd3 0.668 0.832 0.500
Cd4 0.832 0.332 0.500

Computed properties:
Total DFT energy (no corrections) ... -3.5223 eV per atom
Formation energy from the elements ... -0.17 eV per atom
Energy relative to the lowest polymorph listed for this composition ... 99.9 meV per atom
SG ... P4/mbm

Record 2
Density functional theory data (PBE-GGA) for an optimized crystal structure of TcHgOs2.

abc: 9.531 9.531 9.531
angles: 16.88 16.88 16.88
Fractional coordinates of all 4 atoms:
Tc1 0.000 0.000 0.000
Hg1 0.500 0.500 0.500
Os1 0.258 0.258 0.258
Os2 0.742 0.742 0.742

Computed properties:
Total DFT energy (no corrections) ... -7.9055 eV per atom
Formation energy from the elements ... 0.38 eV per atom
SG ... R-3m

Record 3
Density functional theory data (PBE-GGA) for an optimized crystal structure of TlSbS2.

abc: 8.015 8.015 8.015
angles: 28.97 28.97 28.97
Fractional coordinates of all 4 atoms:
Tl1 0.000 0.000 0.000
Sb1 0.174 0.174 0.174
S1 0.578 0.578 0.578
S2 0.777 0.777 0.777

Computed properties:
Total DFT energy (no corrections) ... -3.9943 eV per atom
Formation energy without anion corrections ... -0.308 eV per atom
SG ... R3m